# 1
Below is a relaxed structure of Mg5ZnCu4, with properties calculated at the PBE level.

a = 3.1914 Å, b = 3.1914 Å, c = 15.7924 Å
α = 90.00°, β = 90.00°, γ = 90.00°
Element x y z (fractional)
Mg (0.0000, 0.0000, 0.0000)
Mg (0.0000, 0.0000, 0.1936)
Mg (0.0000, 0.0000, 0.3877)
Mg (0.0000, 0.0000, 0.6123)
Mg (0.0000, 0.0000, 0.8064)
Zn (0.5000, 0.5000, 0.5000)
Cu (0.5000, 0.5000, 0.0969)
Cu (0.5000, 0.5000, 0.2905)
Cu (0.5000, 0.5000, 0.7095)
Cu (0.5000, 0.5000, 0.9031)

Values from the calculation:
- symmetry = P4/mmm


# 2
Below is a relaxed structure of MgZn4Cu8, with properties calculated at the PBE level.

a = 6.4853 Å, b = 6.4853 Å, c = 6.4853 Å
α = 98.40°, β = 98.40°, γ = 135.07°
Element x y z (fractional)
Mg (0.0000, 0.0000, 0.0000)
Zn (0.0000, 0.0000, 0.5000)
Zn (0.0000, 0.5000, 0.0000)
Zn (0.5000, 0.0000, 0.0000)
Zn (0.5000, 0.5000, 0.5000)
Cu (0.0000, 0.3550, 0.3550)
Cu (0.0000, 0.6450, 0.6450)
Cu (0.2861, 0.5000, 0.7861)
Cu (0.3550, 0.0000, 0.3550)
Cu (0.5000, 0.2861, 0.7861)
Cu (0.5000, 0.7139, 0.2139)
Cu (0.6450, 0.0000, 0.6450)
Cu (0.7139, 0.5000, 0.2139)

Values from the calculation:
- symmetry = I4/mmm


| no. | formation energy from the elements (meV per atom) | uncorrected energy (eV for the cell shown) | magnetization (μB per formula unit) |
| --- | --- | --- | --- |
| 1 | -101 | -26.64 | 0.00 |
| 2 | -28 | -39.83 | 0.00 |